No. 1
DFT (PBE-GGA) results for an optimized crystal structure of NpVW.

abc: 5.821 5.821 5.821
angles: 148.96 148.96 44.48
Fractional coordinates of all 3 atoms:
Np 0.000 0.000 0.000
V 0.681 0.681 0.000
W 0.314 0.314 0.000

Results
Crystal system: tetragonal
Energy above the lowest structure with this stoichiometry, meV per atom: 271
Energy of formation, eV/atom: 0.42
Energy, eV/cell: -33.75

No. 2
DFT (PBE-GGA) results for an optimized crystal structure of Ga3Sn3Bi.

abc: 7.591 7.591 7.591
angles: 90.00 90.00 90.00
Fractional coordinates of all 14 atoms:
Ga 0.000 0.250 0.500
Ga 0.000 0.750 0.500
Ga 0.250 0.500 0.000
Ga 0.500 0.000 0.250
Ga 0.500 0.000 0.750
Ga 0.750 0.500 0.000
Sn 0.000 0.500 0.250
Sn 0.000 0.500 0.750
Sn 0.250 0.000 0.500
Sn 0.500 0.250 0.000
Sn 0.500 0.750 0.000
Sn 0.750 0.000 0.500
Bi 0.000 0.000 0.000
Bi 0.500 0.500 0.500

Results
Crystal system: cubic
Energy of formation, eV/atom: 0.40
Energy, eV/cell: -44.37

No. 3
DFT (PBE-GGA) results for an optimized crystal structure of Rb12NaAu6.

abc: 10.942 10.942 10.942
angles: 109.47 109.47 109.47
Fractional coordinates of all 19 atoms:
Rb 0.139 0.319 0.821
Rb 0.179 0.498 0.319
Rb 0.179 0.861 0.681
Rb 0.319 0.179 0.498
Rb 0.319 0.821 0.139
Rb 0.498 0.319 0.179
Rb 0.502 0.681 0.821
Rb 0.681 0.179 0.861
Rb 0.681 0.821 0.502
Rb 0.821 0.139 0.319
Rb 0.821 0.502 0.681
Rb 0.861 0.681 0.179
Na 0.000 0.000 0.000
Au 0.115 0.500 0.615
Au 0.385 0.885 0.500
Au 0.500 0.385 0.885
Au 0.500 0.615 0.115
Au 0.615 0.115 0.500
Au 0.885 0.500 0.385

Results
Crystal system: cubic
Energy of formation, eV/atom: -0.19
Energy, eV/cell: -36.19

No. 4
DFT (PBE-GGA) results for an optimized crystal structure of YTm3In4.

abc: 10.682 7.128 5.445
angles: 90.00 90.00 90.00
Fractional coordinates of all 16 atoms:
Y 0.000 0.000 0.000
Y 0.500 0.000 0.000
Tm 0.000 0.500 0.000
Tm 0.250 0.000 0.428
Tm 0.250 0.500 0.421
Tm 0.500 0.500 0.000
Tm 0.750 0.000 0.572
Tm 0.750 0.500 0.579
In 0.000 0.253 0.500
In 0.000 0.747 0.500
In 0.250 0.253 0.915
In 0.250 0.747 0.915
In 0.500 0.253 0.500
In 0.500 0.747 0.500
In 0.750 0.253 0.085
In 0.750 0.747 0.085

Results
Crystal system: orthorhombic
Energy of formation, eV/atom: -0.44
Energy, eV/cell: -68.72